{
  "formula": "TcWAu2",
  "functional": "PBE-GGA",
  "state": "optimized geometry",
  "m_tot_mub_per_fu": 0.0,
  "relative_energy_ev_per_atom": 0.177,
  "formation_enthalpy_0k_mev_per_atom": 431.9,
  "lattice": [[2.717, -4.342, 0.000], [2.717, 4.342, 0.000], [0.000, 0.000, 2.776]],
  "species": ["Tc", "W", "Au", "Au"],
  "fractional_positions": [[0.000, 0.000, 0.000], [0.500, 0.500, 0.000], [0.000, 0.500, 0.500], [0.500, 0.000, 0.500]]
}